[1]
The following is a GGA-PBE calculation of Pm2Nd3Dy6Tl after structural relaxation, from Alexandria.

For the spin magnetization, the calculation gives 0.00 μB/f.u. Its density is 8.3 g/cm3. For the density of states at the Fermi level, the calculation gives 16.392 states/eV/f.u. The calculation puts the energy of formation at -30 kJ/mol of formula units.

The space group is C2/m (No. 12) and the conventional cell measures 6.1617, 10.6804 and 11.8130 Å, with angles of 90.00, 100.07 and 90.00 degrees. The asymmetric unit holds Pm at (0.0000, 0.1663, 0.0000), Nd at (0.0000, 0.0000, 0.5000), Nd at (0.0000, 0.3326, 0.5000), Dy at (0.2454, 0.5000, 0.7531), Dy at (0.2456, 0.3362, 0.2459) and Tl at (0.0000, 0.5000, 0.0000).


[2]
The following is a GGA-PBE calculation of ScSiSb2Te after structural relaxation, from Alexandria.

For the spin magnetization, the calculation gives 0.00 μB/f.u. Its density is 4.5 g/cm3. For the density of states at the Fermi level, the calculation gives 4.302 states/eV/f.u. Its distance to the lowest polymorph of the same formula is 187 meV/atom.

The space group is P4/mmm (No. 123) and the conventional cell measures 5.4516, 5.4516 and 5.4625 Å, with angles of 90.00, 90.00 and 90.00 degrees. The asymmetric unit holds Sc at (0.0000, 0.0000, 0.0000), Si at (0.5000, 0.5000, 0.5000), Sb at (0.0000, 0.5000, 0.0000) and Te at (0.0000, 0.0000, 0.5000).


[3]
The following is a GGA-PBE calculation of NaB3As after structural relaxation, from Alexandria.

For the spin magnetization, the calculation gives 0.00 μB/f.u. Its density is 2.5 g/cm3. For the density of states at the Fermi level, the calculation gives 2.980 states/eV/f.u. Its distance to the lowest polymorph of the same formula is 1094 meV/atom. The calculation puts the energy of formation at 1352 kJ/mol of formula units.

The space group is Pm-3m (No. 221) and the conventional cell measures 4.4127, 4.4127 and 4.4127 Å, with angles of 90.00, 90.00 and 90.00 degrees. The asymmetric unit holds Na at (0.0000, 0.0000, 0.0000), B at (0.0000, 0.0000, 0.5000) and As at (0.5000, 0.5000, 0.5000).


[4]
The following is a GGA-PBE calculation of SmGdAlSn after structural relaxation, from Alexandria.

For the spin magnetization, the calculation gives 7.06 μB/f.u. Its density is 7.1 g/cm3. For the density of states at the Fermi level, the calculation gives 2.527 states/eV/f.u. The calculation puts the energy of formation at -179 kJ/mol of formula units.

The space group is F-43m (No. 216) and the conventional cell measures 7.5027, 7.5027 and 7.5027 Å, with angles of 90.00, 90.00 and 90.00 degrees. The asymmetric unit holds Sm at (0.0000, 0.0000, 0.0000), Gd at (0.0000, 0.0000, 0.5000), Al at (0.2500, 0.2500, 0.7500) and Sn at (0.2500, 0.2500, 0.2500).